! Tc2SbSe | the Alexandria database | PBE | relaxed; values from VASP
! D(E_F) = 3.76 states/eV per cell
! V = 20.66 Å³ per atom
! formation energy without anion corrections = 0.5 eV per formula unit
! spin magnetization = 0.000 μB per atom
! space group = R3m, No. 160
! E above lowest polymorph = 0.52 eV/f.u.
! calculated density = 7.97 g/cm³
&SYSTEM
  ibrav = 0, nat = 4, ntyp = 3
/
ATOMIC_SPECIES
Tc 98.00 Tc.upf
Se 78.96 Se.upf
Sb 121.76 Sb.upf
CELL_PARAMETERS angstrom
10.341 0.027 0.016
9.880 3.053 0.016
9.880 1.505 2.656
ATOMIC_POSITIONS angstrom
Tc 29.999 4.569 2.679
Se 21.693 3.304 1.937
Sb 15.753 2.399 1.407
Tc 7.810 1.190 0.697